Rb2FeRhO4 | PBE with a Hubbard U | optimized geometry

```
Rb2FeRhO4
1.0
0.000 6.899 9.906
2.838 0.000 9.906
2.838 6.899 0.000
Rb Fe Rh O
4 2 2 8
direct
0.046 0.046 0.704
0.296 0.296 0.954
0.704 0.704 0.046
0.954 0.954 0.296
0.125 0.125 0.125
0.875 0.875 0.875
0.375 0.375 0.375
0.625 0.625 0.625
0.015 0.729 0.548
0.208 0.548 0.729
0.271 0.985 0.792
0.452 0.792 0.985
0.548 0.208 0.015
0.729 0.015 0.208
0.792 0.452 0.271
0.985 0.271 0.452
```

Properties
* E: -5.36 eV per atom
* magnetic moment: 5.0 μB/f.u.
* symmetry: Fddd